No. 1
# CaYCo4, relaxed, DFT PBEsol
data_CaYCo4
_chemical_formula_sum 'Ca1 Y1 Co4'
_space_group_name_H-M_alt 'P 1'
_space_group_IT_number 1
_cell_length_a 4.9919
_cell_length_b 4.9919
_cell_length_c 4.9919
_cell_angle_alpha 60.00
_cell_angle_beta 60.00
_cell_angle_gamma 60.00
loop_
_space_group_symop_operation_xyz
'x,y,z'
loop_
_atom_site_label
_atom_site_fract_x
_atom_site_fract_y
_atom_site_fract_z
Ca1 0.0000 0.0000 0.0000
Y1 0.7500 0.7500 0.7500
Co1 0.3753 0.3753 0.3753
Co2 0.3753 0.3753 0.8741
Co3 0.3753 0.8741 0.3753
Co4 0.8741 0.3753 0.3753
# * calculated formation energy: -0.0265 eV/atom
# * M_tot: 0.71 μB per atom
# * ρ: 6.885 Mg/m³

***

No. 2
# Ca2ZnCo, relaxed, DFT PBEsol
data_Ca2ZnCo
_chemical_formula_sum 'Ca2 Zn1 Co1'
_space_group_name_H-M_alt 'P 1'
_space_group_IT_number 1
_cell_length_a 5.8925
_cell_length_b 5.8925
_cell_length_c 5.8925
_cell_angle_alpha 145.47
_cell_angle_beta 132.20
_cell_angle_gamma 60.29
loop_
_space_group_symop_operation_xyz
'x,y,z'
loop_
_atom_site_label
_atom_site_fract_x
_atom_site_fract_y
_atom_site_fract_z
Ca1 0.0000 0.0000 0.0000
Ca2 0.7066 0.2066 0.5000
Zn1 0.4181 0.4181 0.0000
Co1 0.2624 0.7624 0.5000
# * calculated formation energy: 0.1225 eV/atom
# * M_tot: 0.10 μB per atom
# * ρ: 3.991 Mg/m³

***

No. 3
# CaZnCo2, relaxed, DFT PBEsol
data_CaZnCo2
_chemical_formula_sum 'Ca1 Zn1 Co2'
_space_group_name_H-M_alt 'P 1'
_space_group_IT_number 1
_cell_length_a 5.0000
_cell_length_b 5.0000
_cell_length_c 2.6386
_cell_angle_alpha 101.61
_cell_angle_beta 101.61
_cell_angle_gamma 113.17
loop_
_space_group_symop_operation_xyz
'x,y,z'
loop_
_atom_site_label
_atom_site_fract_x
_atom_site_fract_y
_atom_site_fract_z
Ca1 0.0000 0.0000 0.0000
Zn1 0.5000 0.5000 0.0000
Co1 0.0000 0.5000 0.5000
Co2 0.5000 0.0000 0.5000
# * calculated formation energy: 0.4638 eV/atom
# * M_tot: 0.49 μB per atom
# * ρ: 6.571 Mg/m³

***

No. 4
# CaZn2Co, relaxed, DFT PBEsol
data_CaZn2Co
_chemical_formula_sum 'Ca1 Zn2 Co1'
_space_group_name_H-M_alt 'P 1'
_space_group_IT_number 1
_cell_length_a 3.1542
_cell_length_b 3.1542
_cell_length_c 6.6551
_cell_angle_alpha 90.00
_cell_angle_beta 90.00
_cell_angle_gamma 90.00
loop_
_space_group_symop_operation_xyz
'x,y,z'
loop_
_atom_site_label
_atom_site_fract_x
_atom_site_fract_y
_atom_site_fract_z
Ca1 0.0000 0.0000 0.0000
Zn1 0.0000 0.0000 0.4423
Zn2 0.5000 0.5000 0.6645
Co1 0.5000 0.5000 0.2906
# * calculated formation energy: 0.0776 eV/atom
# * M_tot: 0.03 μB per atom
# * ρ: 5.764 Mg/m³

***

No. 5
# CaZnCo2, relaxed, DFT PBEsol
data_CaZnCo2
_chemical_formula_sum 'Ca1 Zn1 Co2'
_space_group_name_H-M_alt 'P 1'
_space_group_IT_number 1
_cell_length_a 5.5125
_cell_length_b 5.5125
_cell_length_c 5.5125
_cell_angle_alpha 42.46
_cell_angle_beta 42.46
_cell_angle_gamma 42.46
loop_
_space_group_symop_operation_xyz
'x,y,z'
loop_
_atom_site_label
_atom_site_fract_x
_atom_site_fract_y
_atom_site_fract_z
Ca1 0.0000 0.0000 0.0000
Zn1 0.8059 0.8059 0.8059
Co1 0.1938 0.1938 0.1938
Co2 0.5196 0.5196 0.5196
# * calculated formation energy: 0.0044 eV/atom
# * M_tot: 0.57 μB per atom
# * ρ: 5.366 Mg/m³

***

No. 6
# CaZnCo, relaxed, DFT PBEsol
data_CaZnCo
_chemical_formula_sum 'Ca1 Zn1 Co1'
_space_group_name_H-M_alt 'P 1'
_space_group_IT_number 1
_cell_length_a 4.5596
_cell_length_b 4.5596
_cell_length_c 4.5596
_cell_angle_alpha 60.00
_cell_angle_beta 60.00
_cell_angle_gamma 60.00
loop_
_space_group_symop_operation_xyz
'x,y,z'
loop_
_atom_site_label
_atom_site_fract_x
_atom_site_fract_y
_atom_site_fract_z
Ca1 0.0000 0.0000 0.0000
Zn1 0.2500 0.2500 0.2500
Co1 0.7500 0.7500 0.7500
# * calculated formation energy: 1.0005 eV/atom
# * M_tot: 0.42 μB per atom
# * ρ: 4.073 Mg/m³

***

No. 7
# CaZnCo2, relaxed, DFT PBEsol
data_CaZnCo2
_chemical_formula_sum 'Ca1 Zn1 Co2'
_space_group_name_H-M_alt 'P 1'
_space_group_IT_number 1
_cell_length_a 3.1795
_cell_length_b 3.1795
_cell_length_c 6.1466
_cell_angle_alpha 90.00
_cell_angle_beta 90.00
_cell_angle_gamma 90.00
loop_
_space_group_symop_operation_xyz
'x,y,z'
loop_
_atom_site_label
_atom_site_fract_x
_atom_site_fract_y
_atom_site_fract_z
Ca1 0.0000 0.0000 0.0000
Zn1 0.0000 0.0000 0.5000
Co1 0.5000 0.5000 0.3213
Co2 0.5000 0.5000 0.6787
# * calculated formation energy: 0.2726 eV/atom
# * M_tot: 0.61 μB per atom
# * ρ: 5.969 Mg/m³

***

No. 8
# CaZnCo, relaxed, DFT PBEsol
data_CaZnCo
_chemical_formula_sum 'Ca1 Zn1 Co1'
_space_group_name_H-M_alt 'P 1'
_space_group_IT_number 1
_cell_length_a 4.3165
_cell_length_b 4.3165
_cell_length_c 4.3165
_cell_angle_alpha 60.00
_cell_angle_beta 60.00
_cell_angle_gamma 60.00
loop_
_space_group_symop_operation_xyz
'x,y,z'
loop_
_atom_site_label
_atom_site_fract_x
_atom_site_fract_y
_atom_site_fract_z
Ca1 0.0000 0.0000 0.0000
Zn1 0.5000 0.5000 0.5000
Co1 0.2500 0.2500 0.2500
# * calculated formation energy: 0.3805 eV/atom
# * M_tot: 0.14 μB per atom
# * ρ: 4.801 Mg/m³

***

No. 9
# CaZrCo, relaxed, DFT PBEsol
data_CaZrCo
_chemical_formula_sum 'Ca1 Zr1 Co1'
_space_group_name_H-M_alt 'P 1'
_space_group_IT_number 1
_cell_length_a 4.4660
_cell_length_b 4.4660
_cell_length_c 4.4660
_cell_angle_alpha 60.00
_cell_angle_beta 60.00
_cell_angle_gamma 60.00
loop_
_space_group_symop_operation_xyz
'x,y,z'
loop_
_atom_site_label
_atom_site_fract_x
_atom_site_fract_y
_atom_site_fract_z
Ca1 0.0000 0.0000 0.0000
Zr1 0.5000 0.5000 0.5000
Co1 0.2500 0.2500 0.2500
# * E above lowest polymorph: 0.000 eV per atom
# * calculated formation energy: 0.3651 eV/atom
# * M_tot: 0.00 μB per atom
# * ρ: 5.015 Mg/m³

***

No. 10
# Ca2ZrCo, relaxed, DFT PBEsol
data_Ca2ZrCo
_chemical_formula_sum 'Ca2 Zr1 Co1'
_space_group_name_H-M_alt 'P 1'
_space_group_IT_number 1
_cell_length_a 3.1739
_cell_length_b 4.7522
_cell_length_c 5.7968
_cell_angle_alpha 90.00
_cell_angle_beta 90.00
_cell_angle_gamma 90.00
loop_
_space_group_symop_operation_xyz
'x,y,z'
loop_
_atom_site_label
_atom_site_fract_x
_atom_site_fract_y
_atom_site_fract_z
Ca1 0.0000 0.0000 0.2326
Ca2 0.0000 0.0000 0.7674
Zr1 0.5000 0.5000 0.5000
Co1 0.5000 0.5000 0.0000
# * calculated formation energy: 0.6322 eV/atom
# * M_tot: 0.00 μB per atom
# * ρ: 4.374 Mg/m³

***

No. 11
# CaCr, relaxed, DFT PBEsol
data_CaCr
_chemical_formula_sum 'Ca3 Cr3'
_space_group_name_H-M_alt 'P 1'
_space_group_IT_number 1
_cell_length_a 6.6692
_cell_length_b 6.6692
_cell_length_c 7.1126
_cell_angle_alpha 113.93
_cell_angle_beta 113.93
_cell_angle_gamma 28.85
loop_
_space_group_symop_operation_xyz
'x,y,z'
loop_
_atom_site_label
_atom_site_fract_x
_atom_site_fract_y
_atom_site_fract_z
Ca1 0.0000 0.0000 0.0000
Ca2 0.0240 0.0240 0.5372
Ca3 0.7416 0.7416 0.4125
Cr1 0.2825 0.2825 0.8090
Cr2 0.3292 0.3292 0.1218
Cr3 0.7092 0.7092 0.9314
# * E above lowest polymorph: 0.000 eV per atom
# * calculated formation energy: 0.6929 eV/atom
# * M_tot: 0.00 μB per atom
# * ρ: 3.309 Mg/m³

***

No. 12
# Ca2Cr, relaxed, DFT PBEsol
data_Ca2Cr
_chemical_formula_sum 'Ca4 Cr2'
_space_group_name_H-M_alt 'P 1'
_space_group_IT_number 1
_cell_length_a 5.5366
_cell_length_b 5.5366
_cell_length_c 6.8438
_cell_angle_alpha 90.00
_cell_angle_beta 90.00
_cell_angle_gamma 120.00
loop_
_space_group_symop_operation_xyz
'x,y,z'
loop_
_atom_site_label
_atom_site_fract_x
_atom_site_fract_y
_atom_site_fract_z
Ca1 0.0000 0.0000 0.0000
Ca2 0.0000 0.0000 0.5000
Ca3 0.3333 0.6667 0.2500
Ca4 0.6667 0.3333 0.7500
Cr1 0.3333 0.6667 0.7500
Cr2 0.6667 0.3333 0.2500
# * calculated formation energy: 0.6141 eV/atom
# * M_tot: 1.64 μB per atom
# * ρ: 2.416 Mg/m³

***

No. 13
# Ca5Cr, relaxed, DFT PBEsol
data_Ca5Cr
_chemical_formula_sum 'Ca5 Cr1'
_space_group_name_H-M_alt 'P 1'
_space_group_IT_number 1
_cell_length_a 6.7161
_cell_length_b 6.7161
_cell_length_c 9.0285
_cell_angle_alpha 110.10
_cell_angle_beta 110.10
_cell_angle_gamma 33.66
loop_
_space_group_symop_operation_xyz
'x,y,z'
loop_
_atom_site_label
_atom_site_fract_x
_atom_site_fract_y
_atom_site_fract_z
Ca1 0.0000 0.0000 0.0000
Ca2 0.3323 0.3323 0.2054
Ca3 0.3625 0.3625 0.6365
Ca4 0.6375 0.6375 0.3635
Ca5 0.6677 0.6677 0.7946
Cr1 0.0000 0.0000 0.5000
# * E above lowest polymorph: 0.000 eV per atom
# * calculated formation energy: 0.3025 eV/atom
# * M_tot: 0.77 μB per atom
# * ρ: 1.989 Mg/m³

***

No. 14
# Ca5Cr, relaxed, DFT PBEsol
data_Ca5Cr
_chemical_formula_sum 'Ca5 Cr1'
_space_group_name_H-M_alt 'P 1'
_space_group_IT_number 1
_cell_length_a 6.7416
_cell_length_b 6.7416
_cell_length_c 6.2378
_cell_angle_alpha 90.00
_cell_angle_beta 90.00
_cell_angle_gamma 120.00
loop_
_space_group_symop_operation_xyz
'x,y,z'
loop_
_atom_site_label
_atom_site_fract_x
_atom_site_fract_y
_atom_site_fract_z
Ca1 0.0000 0.5000 0.0000
Ca2 0.3333 0.6667 0.5000
Ca3 0.5000 0.0000 0.0000
Ca4 0.5000 0.5000 0.0000
Ca5 0.6667 0.3333 0.5000
Cr1 0.0000 0.0000 0.5000
# * E above lowest polymorph: 0.451 eV per atom
# * calculated formation energy: 0.7531 eV/atom
# * M_tot: 0.87 μB per atom
# * ρ: 1.707 Mg/m³

***

No. 15
# CaCr, relaxed, DFT PBEsol
data_CaCr
_chemical_formula_sum 'Ca1 Cr1'
_space_group_name_H-M_alt 'P 1'
_space_group_IT_number 1
_cell_length_a 3.7057
_cell_length_b 3.7057
_cell_length_c 3.7057
_cell_angle_alpha 90.00
_cell_angle_beta 90.00
_cell_angle_gamma 90.00
loop_
_space_group_symop_operation_xyz
'x,y,z'
loop_
_atom_site_label
_atom_site_fract_x
_atom_site_fract_y
_atom_site_fract_z
Ca1 0.0000 0.0000 0.0000
Cr1 0.5000 0.5000 0.5000
# * E above lowest polymorph: 0.202 eV per atom
# * calculated formation energy: 0.8948 eV/atom
# * M_tot: 2.27 μB per atom
# * ρ: 3.004 Mg/m³

***

No. 16
# CaCr2, relaxed, DFT PBEsol
data_CaCr2
_chemical_formula_sum 'Ca1 Cr2'
_space_group_name_H-M_alt 'P 1'
_space_group_IT_number 1
_cell_length_a 4.4567
_cell_length_b 4.4567
_cell_length_c 2.6411
_cell_angle_alpha 90.00
_cell_angle_beta 90.00
_cell_angle_gamma 120.00
loop_
_space_group_symop_operation_xyz
'x,y,z'
loop_
_atom_site_label
_atom_site_fract_x
_atom_site_fract_y
_atom_site_fract_z
Ca1 0.0000 0.0000 0.0000
Cr1 0.3333 0.6667 0.6170
Cr2 0.6667 0.3333 0.3830
# * calculated formation energy: 1.1463 eV/atom
# * M_tot: 0.00 μB per atom
# * ρ: 5.266 Mg/m³

***

No. 17
# CsCa2TlCr, relaxed, DFT PBEsol
data_CsCa2TlCr
_chemical_formula_sum 'Cs1 Ca2 Tl1 Cr1'
_space_group_name_H-M_alt 'P 1'
_space_group_IT_number 1
_cell_length_a 5.8612
_cell_length_b 5.8612
_cell_length_c 6.3323
_cell_angle_alpha 90.00
_cell_angle_beta 90.00
_cell_angle_gamma 90.00
loop_
_space_group_symop_operation_xyz
'x,y,z'
loop_
_atom_site_label
_atom_site_fract_x
_atom_site_fract_y
_atom_site_fract_z
Cs1 0.0000 0.0000 0.0000
Ca1 0.0000 0.5000 0.5000
Ca2 0.5000 0.0000 0.5000
Tl1 0.5000 0.5000 0.0000
Cr1 0.0000 0.0000 0.5000
# * calculated formation energy: 0.7653 eV/atom
# * M_tot: 0.85 μB per atom
# * ρ: 3.583 Mg/m³

***

No. 18
# CaCrCu2, relaxed, DFT PBEsol
data_CaCrCu2
_chemical_formula_sum 'Ca1 Cr1 Cu2'
_space_group_name_H-M_alt 'P 1'
_space_group_IT_number 1
_cell_length_a 3.1908
_cell_length_b 3.1908
_cell_length_c 6.4582
_cell_angle_alpha 90.00
_cell_angle_beta 90.00
_cell_angle_gamma 90.00
loop_
_space_group_symop_operation_xyz
'x,y,z'
loop_
_atom_site_label
_atom_site_fract_x
_atom_site_fract_y
_atom_site_fract_z
Ca1 0.0000 0.0000 0.0000
Cr1 0.0000 0.0000 0.5000
Cu1 0.5000 0.5000 0.3071
Cu2 0.5000 0.5000 0.6929
# * E above lowest polymorph: 0.000 eV per atom
# * calculated formation energy: 0.3340 eV/atom
# * M_tot: 0.87 μB per atom
# * ρ: 5.535 Mg/m³

***

No. 19
# CaCrCu2, relaxed, DFT PBEsol
data_CaCrCu2
_chemical_formula_sum 'Ca1 Cr1 Cu2'
_space_group_name_H-M_alt 'P 1'
_space_group_IT_number 1
_cell_length_a 5.0082
_cell_length_b 5.0082
_cell_length_c 5.0082
_cell_angle_alpha 133.30
_cell_angle_beta 133.30
_cell_angle_gamma 68.19
loop_
_space_group_symop_operation_xyz
'x,y,z'
loop_
_atom_site_label
_atom_site_fract_x
_atom_site_fract_y
_atom_site_fract_z
Ca1 0.0000 0.0000 0.0000
Cr1 0.7500 0.2500 0.5000
Cu1 0.2500 0.7500 0.5000
Cu2 0.5000 0.5000 0.0000
# * E above lowest polymorph: 0.132 eV per atom
# * calculated formation energy: 0.4661 eV/atom
# * M_tot: 1.04 μB per atom
# * ρ: 5.567 Mg/m³

***

No. 20
# CaCr4Cu3O12, relaxed, DFT PBEsol
data_CaCr4Cu3O12
_chemical_formula_sum 'Ca1 Cr4 Cu3 O12'
_space_group_name_H-M_alt 'P 1'
_space_group_IT_number 1
_cell_length_a 6.2081
_cell_length_b 6.2081
_cell_length_c 6.2081
_cell_angle_alpha 109.47
_cell_angle_beta 109.47
_cell_angle_gamma 109.47
loop_
_space_group_symop_operation_xyz
'x,y,z'
loop_
_atom_site_label
_atom_site_fract_x
_atom_site_fract_y
_atom_site_fract_z
Ca1 0.0000 0.0000 0.0000
Cr1 0.0000 0.0000 0.5000
Cr2 0.0000 0.5000 0.0000
Cr3 0.5000 0.0000 0.0000
Cr4 0.5000 0.5000 0.5000
Cu1 0.0000 0.5000 0.5000
Cu2 0.5000 0.0000 0.5000
Cu3 0.5000 0.5000 0.0000
O1 0.1204 0.8180 0.3024
O2 0.1820 0.3024 0.4844
O3 0.1820 0.6976 0.8796
O4 0.3024 0.1204 0.8180
O5 0.3024 0.4844 0.1820
O6 0.4844 0.1820 0.3024
O7 0.5156 0.8180 0.6976
O8 0.6976 0.5156 0.8180
O9 0.6976 0.8796 0.1820
O10 0.8180 0.3024 0.1204
O11 0.8180 0.6976 0.5156
O12 0.8796 0.1820 0.6976
# * M_tot: 0.25 μB per atom
# * ρ: 5.686 Mg/m³
# * uncorrected formation energy: -1.6635 eV/atom